# Cs2AgClO

Crystalline Cs2AgClO at its relaxed geometry (PBE, Alexandria via LeMat-Bulk).

abc: 6.1798 6.1798 4.1360
angles: 90.00 90.00 90.00
Space group P4/mmm (No. 123)
Symmetry-distinct sites (fractional):
Cs: 0.0000 0.5000 0.0000 x2
Ag: 0.0000 0.0000 0.5000 x1
Cl: 0.5000 0.5000 0.5000 x1
O: 0.0000 0.0000 0.0000 x1

Computed properties:
- total magnetization (μB per formula unit) = 0.00
- DFT total energy (eV/atom) = -3.4292